(1)
# K4Tl3Cl8

An optimized crystal structure of K4Tl3Cl8 (PBE, the Alexandria database).

```
K4Tl3Cl8
1.0
7.8178 -0.2808 -4.3738
-5.1068 7.3860 -0.1673
-0.2504 0.1789 8.9758
K Cl Tl
4 8 3
direct
0.5000 0.0000 0.0000 K
0.0000 0.5000 0.0000 K
0.0000 0.0000 0.5000 K
0.0000 0.0000 0.0000 K
0.5022 0.7499 0.7499 Cl
0.0000 0.2458 0.7542 Cl
0.5000 0.7514 0.2486 Cl
0.0088 0.2444 0.2444 Cl
0.5000 0.2486 0.7514 Cl
0.0000 0.7542 0.2458 Cl
0.4978 0.2501 0.2501 Cl
0.9912 0.7556 0.7556 Cl
0.5000 0.5000 0.5000 Tl
0.5000 0.0000 0.5000 Tl
0.5000 0.5000 0.0000 Tl
```

Properties
- calculated density (g/cm3) = 3.487
- formation energy (no corrections) (meV/atom) = -1431
- M_tot (μB per atom) = 0.0000

***

(2)
# LaBe2B

An optimized crystal structure of LaBe2B (PBE, the Alexandria database).

```
LaBe2B
1.0
-0.6886 -4.1291 -0.9758
3.0537 0.2040 -3.0181
5.7270 -3.7780 2.4783
Be La B
4 2 2
direct
0.3750 0.6248 0.7500 Be
0.3752 0.1250 0.2500 Be
0.3748 0.6250 0.2500 Be
0.8750 0.6252 0.7500 Be
0.0000 0.0000 0.0000 La
0.7500 0.2500 0.5000 La
0.5000 0.5000 0.0000 B
0.2500 0.7500 0.5000 B
```

Properties
- energy relative to the elements (meV/atom) = 88
- calculated density (g/cm3) = 4.547
- M_tot (μB per atom) = 0.0000

***

(3)
# BeNbW2

An optimized crystal structure of BeNbW2 (PBE, the Alexandria database).

```
BeNbW2
1.0
-2.3850 3.4483 5.9118
-2.5847 -6.2507 2.6032
-0.3816 -1.8166 5.3483
Nb Be W
2 2 4
direct
0.0000 0.0000 0.0000 Nb
0.7500 0.2500 0.5000 Nb
0.5000 0.5000 0.0000 Be
0.2500 0.7500 0.5000 Be
0.5551 0.1250 0.2500 W
0.3750 0.4449 0.7500 W
0.8750 0.8051 0.7500 W
0.1949 0.6250 0.2500 W
```

Properties
- energy relative to the elements (meV/atom) = 689
- calculated density (g/cm3) = 12.343
- M_tot (μB per atom) = 0.0000